NaCeH2: relaxed, GGA-PBE.

Summary:
- Distance to the lowest polymorph of the same formula: 0.0 meV per atom
- Crystal system: trigonal

a = 3.3898 Å, b = 3.3898 Å, c = 6.4803 Å
α = 74.84°, β = 74.84°, γ = 60.00°
Closest atoms and distances in Å follow each position.
Fractional coordinates of all 4 atoms:
Na  0.5000  0.5000  0.5000  6 H 2.55
Ce  0.0000  0.0000  0.0000  6 H 2.43
H  0.7448  0.7448  0.7655  3 Ce 2.43, 3 Na 2.55
H  0.2552  0.2552  0.2345  3 Ce 2.43, 3 Na 2.55